{"formula": "Mn2AlW", "functional": "GGA-PBEsol", "state": "relaxed", "cell": [[-1.762, 1.762, 4.104], [1.762, -1.762, 4.104], [1.762, 1.762, -4.104]], "species": ["Mn", "Mn", "Al", "W"], "fractional_positions": [[0.000, 0.000, 0.000], [0.750, 0.250, 0.500], [0.250, 0.750, 0.500], [0.500, 0.500, 0.000]], "e_form_mev_per_atom": 28}

***

{"formula": "Ba3ScIn", "functional": "GGA-PBEsol", "state": "relaxed", "cell": [[6.514, 0.000, 0.000], [0.000, 6.514, 0.000], [0.000, 0.000, 6.514]], "species": ["Ba", "Ba", "Ba", "Sc", "In"], "fractional_positions": [[0.000, 0.000, 0.500], [0.000, 0.500, 0.000], [0.500, 0.000, 0.000], [0.500, 0.500, 0.500], [0.000, 0.000, 0.000]], "e_form_mev_per_atom": 462}

***

{"formula": "Ca3MgI", "functional": "GGA-PBEsol", "state": "relaxed", "cell": [[5.816, 0.000, 0.000], [0.000, 5.816, 0.000], [0.000, 0.000, 5.816]], "species": ["Ca", "Ca", "Ca", "Mg", "I"], "fractional_positions": [[0.000, 0.000, 0.500], [0.000, 0.500, 0.000], [0.500, 0.000, 0.000], [0.500, 0.500, 0.500], [0.000, 0.000, 0.000]], "raw_formation_energy_ev_per_atom": -0.05}

***

Number 1: DFT total energy -9.33 eV/atom. Number 2: DFT total energy -2.74 eV/atom. Number 3: DFT total energy -2.03 eV/atom.